LiCdBi after structural relaxation. Source: OQMD via LeMat-Bulk, functional PBE-GGA.

Lattice parameters (Å, degrees): 5.0867 5.0867 6.5131 90.00 90.00 120.00
With the nearest neighbours (Å) after each atom.
Sites, in units of the cell vectors:
1 Li 0.0000 0.0000 0.5000  2 Li 3.26, 6 Cd 3.36, 6 Bi 3.36
2 Li 0.0000 0.0000 0.0000  2 Li 3.26, 6 Cd 3.36, 6 Bi 3.36
3 Cd 0.3333 0.6667 0.7500  5 Bi 2.94-3.26
4 Cd 0.6667 0.3333 0.2500  5 Bi 2.94-3.26
5 Bi 0.6667 0.3333 0.7500  5 Cd 2.94-3.26
6 Bi 0.3333 0.6667 0.2500  5 Cd 2.94-3.26

Calculated values
Calculated total energy, eV/cell: -14.702
Mass density, g/cm3: 7.5